# 1
Compound: AcIn9Ir2
Source: the Alexandria database
Functional: PBE-GGA
Structure: optimized geometry

```
data_AcIn9Ir2
_chemical_formula_sum 'Ac4 In36 Ir8'
_space_group_name_H-M_alt 'I 41/a m d'
_space_group_IT_number 141
_cell_length_a 12.2827
_cell_length_b 12.2827
_cell_length_c 7.5285
_cell_angle_alpha 90.00
_cell_angle_beta 90.00
_cell_angle_gamma 90.00
loop_
_space_group_symop_operation_xyz
'x,y,z'
'-x,-y,-z'
'-y+1/4,x+3/4,z+1/4'
'y+1/4,-x+3/4,-z+1/4'
'-x+1/2,-y,z+1/2'
'x+1/2,y,-z+1/2'
'y+1/4,-x+1/4,z+3/4'
'-y+1/4,x+1/4,-z+3/4'
'x,-y,-z'
'-x,y,z'
'-y+1/4,-x+1/4,-z+3/4'
'y+1/4,x+1/4,z+3/4'
'-x+1/2,y,-z+1/2'
'x+1/2,-y,z+1/2'
'y+1/4,x+3/4,-z+1/4'
'-y+1/4,-x+3/4,z+1/4'
'x+1/2,y+1/2,z+1/2'
'-x+1/2,-y+1/2,-z+1/2'
'-y+3/4,x+1/4,z+3/4'
'y+3/4,-x+1/4,-z+3/4'
'-x,-y+1/2,z'
'x,y+1/2,-z'
'y+3/4,-x+3/4,z+1/4'
'-y+3/4,x+3/4,-z+1/4'
'x+1/2,-y+1/2,-z+1/2'
'-x+1/2,y+1/2,z+1/2'
'-y+3/4,-x+3/4,-z+1/4'
'y+3/4,x+3/4,z+1/4'
'-x,y+1/2,-z'
'x,-y+1/2,z'
'y+3/4,x+1/4,-z+3/4'
'-y+3/4,-x+1/4,z+3/4'
loop_
_atom_site_label
_atom_site_fract_x
_atom_site_fract_y
_atom_site_fract_z
Ac1 0.0000 0.2500 0.3750
In1 0.0000 0.2500 0.8750
In2 0.1199 0.0622 0.6774
Ir1 0.0000 0.0000 0.0000
```

**DFT total energy**: -3.96 eV/atom
**Total magnetic moment**: 0.00 μB/cell
**ΔE_f**: -91 meV per atom
**Crystal system**: tetragonal

---

# 2
Compound: KAg2TeCl6
Source: the Alexandria database
Functional: PBE-GGA
Structure: optimized geometry

```
data_KAg2TeCl6
_chemical_formula_sum 'K1 Ag2 Te1 Cl6'
_space_group_name_H-M_alt 'P 1'
_space_group_IT_number 1
_space_group_name_Hall 'P 1'
_cell_length_a 6.9440
_cell_length_b 7.2696
_cell_length_c 7.4727
_cell_angle_alpha 89.75
_cell_angle_beta 67.98
_cell_angle_gamma 65.45
loop_
_atom_site_label
_atom_site_fract_x
_atom_site_fract_y
_atom_site_fract_z
K1 0.0000 0.0000 0.0000
Ag1 0.5550 0.7669 0.1796
Ag2 0.5669 0.1551 0.6409
Te1 0.9914 0.5105 0.5173
Cl1 0.1472 0.7450 0.3211
Cl2 0.1554 0.5405 0.7587
Cl3 0.5067 0.1088 0.3335
Cl4 0.5292 0.8827 0.8562
Cl5 0.8130 0.2906 0.7306
Cl6 0.8332 0.4536 0.2647
```

**DFT total energy**: -2.84 eV/atom
**Total magnetic moment**: 1.02 μB/cell
**Formation energy from raw total energies**: -739.6 meV/atom
**Crystal system**: triclinic

---

# 3
Compound: Ba2LiCl
Source: the Alexandria database
Functional: PBE-GGA
Structure: optimized geometry

```
data_Ba2LiCl
_chemical_formula_sum 'Ba6 Li3 Cl3'
_space_group_name_H-M_alt 'R 3 m'
_space_group_IT_number 160
_space_group_name_Hall 'R 3 -2"'
_cell_length_a 4.4494
_cell_length_b 4.4494
_cell_length_c 28.5758
_cell_angle_alpha 90.00
_cell_angle_beta 90.00
_cell_angle_gamma 120.00
loop_
_atom_site_label
_atom_site_fract_x
_atom_site_fract_y
_atom_site_fract_z
Ba1 0.0000 0.0000 0.0000
Ba2 0.0000 0.0000 0.1825
Li1 0.0000 0.0000 0.4240
Cl1 0.0000 0.0000 0.5932
```

**DFT total energy**: -2.68 eV/atom
**Total magnetic moment**: 0.52 μB/cell
**Formation energy from raw total energies**: -780.9 meV/atom
**E above lowest polymorph**: 23 kJ/mol of formula units
**Crystal system**: trigonal

---

# 4
Compound: AcTlO
Source: the Alexandria database
Functional: PBE-GGA
Structure: optimized geometry

```
data_AcTlO
_chemical_formula_sum 'Ac2 Tl2 O2'
_space_group_name_H-M_alt 'P 4/n m m'
_space_group_IT_number 129
_cell_length_a 4.2447
_cell_length_b 4.2447
_cell_length_c 8.8962
_cell_angle_alpha 90.00
_cell_angle_beta 90.00
_cell_angle_gamma 90.00
loop_
_space_group_symop_operation_xyz
'x,y,z'
'-x,-y,-z'
'-y+1/2,x,z'
'y+1/2,-x,-z'
'-x+1/2,-y+1/2,z'
'x+1/2,y+1/2,-z'
'y,-x+1/2,z'
'-y,x+1/2,-z'
'x+1/2,-y,-z'
'-x+1/2,y,z'
'-y,-x,-z'
'y,x,z'
'-x,y+1/2,-z'
'x,-y+1/2,z'
'y+1/2,x+1/2,-z'
'-y+1/2,-x+1/2,z'
loop_
_atom_site_label
_atom_site_fract_x
_atom_site_fract_y
_atom_site_fract_z
Ac1 0.2500 0.2500 0.1424
Tl1 0.2500 0.2500 0.5886
O1 0.2500 0.7500 0.0000
```

**DFT total energy**: -5.83 eV/atom
**Total magnetic moment**: 0.00 μB/cell
**Formation energy from raw total energies**: -2021.8 meV/atom
**Crystal system**: tetragonal

---

# 5
Compound: Tb2Y2Rh3
Source: the Alexandria database
Functional: PBE-GGA
Structure: optimized geometry

```
data_Tb2Y2Rh3
_chemical_formula_sum 'Tb2 Y2 Rh3'
_space_group_name_H-M_alt 'P -1'
_space_group_IT_number 2
_space_group_name_Hall '-P 1'
_cell_length_a 4.8159
_cell_length_b 4.8423
_cell_length_c 7.7107
_cell_angle_alpha 71.76
_cell_angle_beta 71.94
_cell_angle_gamma 89.82
loop_
_atom_site_label
_atom_site_fract_x
_atom_site_fract_y
_atom_site_fract_z
Tb1 0.1276 0.1272 0.2473
Y1 0.3724 0.3728 0.7526
Rh1 0.2480 0.7480 0.0036
Rh2 0.5000 0.0000 0.5000
```

**DFT total energy**: -7.05 eV/atom
**Total magnetic moment**: 0.00 μB/cell
**ΔE_f**: -728 meV per atom
**E above lowest polymorph**: 19 kJ/mol of formula units
**Crystal system**: triclinic

---

# 6
Compound: CdGa2Pd2
Source: the Alexandria database
Functional: PBE-GGA
Structure: optimized geometry

```
data_CdGa2Pd2
_chemical_formula_sum 'Cd2 Ga4 Pd4'
_space_group_name_H-M_alt 'I 4/m m m'
_space_group_IT_number 139
_space_group_name_Hall '-I 4 2'
_cell_length_a 3.7395
_cell_length_b 3.7395
_cell_length_c 12.6335
_cell_angle_alpha 90.00
_cell_angle_beta 90.00
_cell_angle_gamma 90.00
loop_
_atom_site_label
_atom_site_fract_x
_atom_site_fract_y
_atom_site_fract_z
Cd1 0.0000 0.0000 0.0000
Ga1 0.0000 0.5000 0.2500
Pd1 0.0000 0.0000 0.3906
```

**DFT total energy**: -3.87 eV/atom
**Total magnetic moment**: 0.00 μB/cell
**ΔE_f**: -402 meV per atom
**E above lowest polymorph**: 26 kJ/mol of formula units
**Crystal system**: tetragonal

---

- Look up the total magnetic moment of the sixth one.
  0.00 μB/cell

---

- What is the formula in the fourth record?
  AcTlO

---

Please write out number 2 again, unchanged.
Compound: KAg2TeCl6
Source: the Alexandria database
Functional: PBE-GGA
Structure: optimized geometry

```
data_KAg2TeCl6
_chemical_formula_sum 'K1 Ag2 Te1 Cl6'
_space_group_name_H-M_alt 'P 1'
_space_group_IT_number 1
_space_group_name_Hall 'P 1'
_cell_length_a 6.9440
_cell_length_b 7.2696
_cell_length_c 7.4727
_cell_angle_alpha 89.75
_cell_angle_beta 67.98
_cell_angle_gamma 65.45
loop_
_atom_site_label
_atom_site_fract_x
_atom_site_fract_y
_atom_site_fract_z
K1 0.0000 0.0000 0.0000
Ag1 0.5550 0.7669 0.1796
Ag2 0.5669 0.1551 0.6409
Te1 0.9914 0.5105 0.5173
Cl1 0.1472 0.7450 0.3211
Cl2 0.1554 0.5405 0.7587
Cl3 0.5067 0.1088 0.3335
Cl4 0.5292 0.8827 0.8562
Cl5 0.8130 0.2906 0.7306
Cl6 0.8332 0.4536 0.2647
```

**DFT total energy**: -2.84 eV/atom
**Total magnetic moment**: 1.02 μB/cell
**Formation energy from raw total energies**: -739.6 meV/atom
**Crystal system**: triclinic